No. 1
VASP calculation (PBE) on a geometry-optimized TcAsPd structure.

a = 4.682 Å, b = 4.682 Å, c = 9.164 Å
α = 131.17°, β = 131.17°, γ = 46.19°
Positions (direct):
As 0.009 0.009 0.314
As 0.991 0.991 0.686
Tc 0.609 0.609 0.947
Tc 0.391 0.391 0.053
Pd 0.739 0.739 0.736
Pd 0.261 0.261 0.264

* space group: C2/m (12)
* polymorph energy (0 for the lowest one): 0.074 eV/atom
* uncorrected energy: -6.832 eV per atom

No. 2
VASP calculation (PBE) on a geometry-optimized NpGaAgGe structure.

a = 4.833 Å, b = 4.833 Å, c = 4.833 Å
α = 60.00°, β = 60.00°, γ = 60.00°
Each line ends with the local moment (μB).
Positions (direct):
Ga 0.250 0.250 0.250  0.04
Ge 0.750 0.750 0.750  0.00
Ag 0.500 0.500 0.500  0.02
Np 0.000 0.000 0.000  3.81

* space group: F-43m (216)
* uncorrected energy: -5.839 eV per atom

No. 3
VASP calculation (PBE) on a geometry-optimized Tb12Er6Tm structure.

a = 8.476 Å, b = 8.476 Å, c = 8.476 Å
α = 88.51°, β = 88.51°, γ = 88.51°
Positions (direct):
Tm 0.000 0.000 0.000
Tb 0.013 0.201 0.359
Tb 0.359 0.013 0.201
Tb 0.641 0.987 0.799
Tb 0.799 0.641 0.987
Tb 0.459 0.566 0.223
Tb 0.566 0.223 0.459
Tb 0.987 0.799 0.641
Tb 0.201 0.359 0.013
Tb 0.777 0.541 0.434
Tb 0.434 0.777 0.541
Tb 0.541 0.434 0.777
Tb 0.223 0.459 0.566
Er 0.905 0.304 0.742
Er 0.095 0.696 0.258
Er 0.696 0.258 0.095
Er 0.304 0.742 0.905
Er 0.742 0.905 0.304
Er 0.258 0.095 0.696

* space group: R-3 (148)
* polymorph energy (0 for the lowest one): 0.020 eV/atom
* uncorrected energy: -4.447 eV per atom

No. 4
VASP calculation (PBE) on a geometry-optimized SrCr2Ni structure.

a = 4.433 Å, b = 4.433 Å, c = 4.433 Å
α = 60.00°, β = 60.00°, γ = 60.00°
Positions (direct):
Cr 0.750 0.750 0.750
Cr 0.250 0.250 0.250
Sr 0.500 0.500 0.500
Ni 0.000 0.000 0.000

* space group: Fm-3m (225)
* polymorph energy (0 for the lowest one): 0.989 eV/atom
* uncorrected energy: -5.292 eV per atom

No. 5
VASP calculation (PBE) on a geometry-optimized KInCl2O structure.

a = 5.128 Å, b = 5.128 Å, c = 4.769 Å
α = 90.00°, β = 90.00°, γ = 90.00°
Positions (direct):
In 0.500 0.500 0.500
K 0.000 0.000 0.500
Cl 0.000 0.500 0.000
Cl 0.500 0.000 0.000
O 0.000 0.000 0.000

* space group: P4/mmm (123)
* polymorph energy (0 for the lowest one): 0.000 eV/atom
* uncorrected energy: -2.895 eV per atom

No. 6
VASP calculation (PBE) on a geometry-optimized Sm2Cu2Pd structure.

a = 7.306 Å, b = 7.306 Å, c = 7.782 Å
α = 90.00°, β = 90.00°, γ = 90.00°
Positions (direct):
Pd 0.000 0.000 0.251
Pd 0.000 0.000 0.749
Pd 0.500 0.500 0.751
Pd 0.500 0.500 0.249
Cu 0.120 0.380 0.250
Cu 0.120 0.380 0.750
Cu 0.620 0.120 0.750
Cu 0.380 0.880 0.750
Cu 0.620 0.120 0.250
Cu 0.380 0.880 0.250
Cu 0.880 0.620 0.750
Cu 0.880 0.620 0.250
Sm 0.819 0.319 0.000
Sm 0.681 0.819 0.500
Sm 0.181 0.681 0.500
Sm 0.319 0.181 0.000
Sm 0.181 0.681 0.000
Sm 0.319 0.181 0.500
Sm 0.681 0.819 0.000
Sm 0.819 0.319 0.500

* space group: P4/mnc (128)
* polymorph energy (0 for the lowest one): 0.057 eV/atom
* uncorrected energy: -4.935 eV per atom

No. 7
VASP calculation (PBE) on a geometry-optimized ScPtI2O structure.

a = 5.785 Å, b = 5.785 Å, c = 3.804 Å
α = 90.00°, β = 90.00°, γ = 90.00°
Each line ends with the local moment (μB).
Positions (direct):
I 0.000 0.500 0.000  0.04
I 0.500 0.000 0.000  0.04
Sc 0.000 0.000 0.000  0.00
Pt 0.500 0.500 0.500  0.23
O 0.000 0.000 0.500  0.00

* space group: P4/mmm (123)
* polymorph energy (0 for the lowest one): 0.000 eV/atom
* uncorrected energy: -4.684 eV per atom

No. 8
VASP calculation (PBE) on a geometry-optimized AgMo2Os2 structure.

a = 7.703 Å, b = 7.703 Å, c = 2.798 Å
α = 90.00°, β = 90.00°, γ = 90.00°
Positions (direct):
Ag 0.000 0.000 0.000
Ag 0.500 0.500 0.000
Os 0.354 0.146 0.500
Os 0.146 0.646 0.500
Os 0.646 0.854 0.500
Os 0.854 0.354 0.500
Mo 0.145 0.355 0.000
Mo 0.645 0.145 0.000
Mo 0.855 0.645 0.000
Mo 0.355 0.855 0.000

* space group: P4/mbm (127)
* polymorph energy (0 for the lowest one): 0.083 eV/atom
* uncorrected energy: -9.052 eV per atom

No. 9
VASP calculation (PBE) on a geometry-optimized Pu2InF7 structure.

a = 4.552 Å, b = 7.043 Å, c = 7.043 Å
α = 116.81°, β = 90.00°, γ = 90.00°
Each line ends with the local moment (μB).
Positions (direct):
F 0.500 0.500 0.500  -0.02
F 0.000 0.703 0.297  -0.02
F 0.500 0.042 0.332  -0.01
F 0.500 0.332 0.042  -0.01
F 0.500 0.668 0.958  -0.01
F 0.000 0.297 0.703  -0.02
F 0.500 0.958 0.668  -0.01
Pu 0.500 0.309 0.691  4.99
Pu 0.500 0.691 0.309  4.99
In 0.000 0.000 0.000  0.00

* space group: Cmmm (65)
* uncorrected energy: -7.631 eV per atom

No. 10
VASP calculation (PBE) on a geometry-optimized Th2Si5Os structure.

a = 5.916 Å, b = 5.916 Å, c = 6.107 Å
α = 118.97°, β = 118.97°, γ = 90.00°
Positions (direct):
Si 0.714 0.714 0.428
Si 0.722 0.722 0.023
Si 0.301 0.301 0.023
Si 0.301 0.722 0.023
Si 0.722 0.301 0.023
Os 0.977 0.977 0.955
Th 0.770 0.270 0.539
Th 0.270 0.770 0.539

* space group: I4mm (107)
* uncorrected energy: -7.112 eV per atom

No. 11
VASP calculation (PBE) on a geometry-optimized NaSmEr2Tl4 structure.

a = 5.327 Å, b = 5.327 Å, c = 9.386 Å
α = 73.52°, β = 73.52°, γ = 60.00°
Positions (direct):
Tl 0.377 0.377 0.870
Tl 0.126 0.126 0.621
Tl 0.623 0.623 0.130
Tl 0.874 0.874 0.379
Er 0.247 0.247 0.260
Er 0.753 0.753 0.740
Na 0.500 0.500 0.500
Sm 0.000 0.000 0.000

* space group: R-3m (166)
* uncorrected energy: -3.361 eV per atom

uncorrected energy of number 11 (NaSmEr2Tl4)? -3.361 eV per atom